Density functional theory data (PBE-GGA) for crystalline Ga5Sn3Te12 at its relaxed geometry.

Properties
formation energy from raw total energies = -2.05 eV/f.u.
energy = -66.9 eV per formula unit

Cell lengths 15.0044, 15.0044, 15.0044 Å; angles 109.47, 109.47, 109.47 degrees
Element x y z (fractional)
Ga (0.0000, 0.5000, 0.5000)
Ga (0.0000, 0.0000, 0.5000)
Ga (0.6250, 0.8750, 0.2500)
Te (0.9092, 0.0862, 0.6209)
Te (0.9138, 0.8230, 0.5347)
Ga (0.7500, 0.6250, 0.3750)
Te (0.6209, 0.0347, 0.2117)
Ga (0.8750, 0.2500, 0.6250)
Ga (0.6250, 0.7500, 0.8750)
Ga (0.0000, 0.5000, 0.0000)
Te (0.8230, 0.9092, 0.2883)
Te (0.8791, 0.2883, 0.4653)
Sn (0.1250, 0.2500, 0.8750)
Te (0.9138, 0.0908, 0.8791)
Te (0.4653, 0.7883, 0.8791)
Te (0.6209, 0.5862, 0.9092)
Te (0.5862, 0.9653, 0.6770)
Te (0.0908, 0.1770, 0.2117)
Te (0.6770, 0.4653, 0.5862)
Te (0.2883, 0.4092, 0.8230)
Te (0.0862, 0.1770, 0.4653)
Te (0.9653, 0.5862, 0.1770)
Sn (0.3750, 0.6250, 0.2500)
Te (0.0908, 0.9138, 0.3791)
Te (0.7883, 0.3230, 0.9092)
Te (0.9092, 0.8230, 0.7883)
Te (0.0862, 0.9092, 0.1209)
Te (0.2117, 0.6770, 0.0908)
Sn (0.1250, 0.8750, 0.7500)
Te (0.5908, 0.7117, 0.6770)
Ga (0.2500, 0.3750, 0.6250)
Te (0.8230, 0.9138, 0.0347)
Te (0.4138, 0.3791, 0.5908)
Te (0.5908, 0.8791, 0.4138)
Te (0.0347, 0.6209, 0.7117)
Ga (0.7500, 0.1250, 0.8750)
Sn (0.3750, 0.7500, 0.6250)
Ga (0.2500, 0.8750, 0.1250)
Te (0.3230, 0.7883, 0.4092)
Sn (0.2500, 0.1250, 0.3750)
Te (0.4092, 0.2883, 0.3230)
Sn (0.6250, 0.2500, 0.3750)
Ga (0.3750, 0.1250, 0.7500)
Te (0.7117, 0.1209, 0.0347)
Sn (0.7500, 0.3750, 0.1250)
Te (0.6770, 0.2117, 0.5908)
Ga (0.1250, 0.7500, 0.3750)
Te (0.1770, 0.0908, 0.7117)
Te (0.2883, 0.8791, 0.9653)
Sn (0.2500, 0.6250, 0.8750)
Te (0.5862, 0.6209, 0.4092)
Te (0.2117, 0.5347, 0.6209)
Te (0.5347, 0.3230, 0.9138)
Ga (0.5000, 0.0000, 0.5000)
Te (0.0347, 0.4138, 0.8230)
Te (0.3791, 0.4138, 0.0908)
Ga (0.5000, 0.0000, 0.0000)
Te (0.8791, 0.5908, 0.9138)
Te (0.7883, 0.4653, 0.3791)
Ga (0.1250, 0.3750, 0.2500)
Ga (0.0000, 0.0000, 0.0000)
Ga (0.8750, 0.6250, 0.7500)
Te (0.3791, 0.9653, 0.7883)
Te (0.7117, 0.5908, 0.1770)
Te (0.1770, 0.0862, 0.9653)
Te (0.1209, 0.7117, 0.5347)
Ga (0.3750, 0.2500, 0.1250)
Sn (0.8750, 0.1250, 0.2500)
Te (0.4092, 0.1209, 0.5862)
Te (0.9653, 0.3791, 0.2883)
Ga (0.5000, 0.5000, 0.0000)
Te (0.4653, 0.6770, 0.0862)
Sn (0.8750, 0.7500, 0.1250)
Te (0.5347, 0.2117, 0.1209)
Ga (0.5000, 0.5000, 0.5000)
Sn (0.6250, 0.3750, 0.7500)
Te (0.1209, 0.4092, 0.0862)
Te (0.3230, 0.5347, 0.4138)
Sn (0.7500, 0.8750, 0.6250)
Te (0.4138, 0.0347, 0.3230)